(1)
BaNi | the Alexandria database | GGA-PBE | optimized geometry; total DFT energy (no corrections) = -3.6544 eV per atom; energy of formation from the pure elements = 0.20 eV/atom; mass density = 4.64 g/cm³; N(E_F) = 0.694 states/eV per atom
1.0
11.757 0.000 0.000
0.000 11.757 0.000
0.000 0.000 4.056
Ba Ni
8 8
direct
0.083 0.242 0.000 Ba
0.242 0.917 0.000 Ba
0.258 0.583 0.500 Ba
0.417 0.258 0.500 Ba
0.583 0.742 0.500 Ba
0.742 0.417 0.500 Ba
0.758 0.083 0.000 Ba
0.917 0.758 0.000 Ba
0.030 0.409 0.500 Ni
0.091 0.530 0.000 Ni
0.409 0.970 0.500 Ni
0.470 0.091 0.000 Ni
0.530 0.909 0.000 Ni
0.591 0.030 0.500 Ni
0.909 0.470 0.000 Ni
0.970 0.591 0.500 Ni

***

(2)
KIn7Hg12 | the Alexandria database | GGA-PBE | optimized geometry; offset from the most stable computed form = 0 meV/atom; total DFT energy (no corrections) = -1.2134 eV per atom; energy of formation from the pure elements = -0.02 eV/atom; mass density = 9.54 g/cm³; N(E_F) = 0.473 states/eV per atom
1.0
7.706 4.449 2.749
-7.706 4.449 2.749
0.000 -8.898 2.749
K In Hg
1 7 12
direct
0.000 0.000 0.000 K
0.203 0.203 0.563 In
0.203 0.563 0.203 In
0.437 0.797 0.797 In
0.500 0.500 0.500 In
0.563 0.203 0.203 In
0.797 0.437 0.797 In
0.797 0.797 0.437 In
0.000 0.241 0.759 Hg
0.000 0.759 0.241 Hg
0.086 0.417 0.417 Hg
0.241 0.000 0.759 Hg
0.241 0.759 0.000 Hg
0.417 0.086 0.417 Hg
0.417 0.417 0.086 Hg
0.583 0.583 0.914 Hg
0.583 0.914 0.583 Hg
0.759 0.000 0.241 Hg
0.759 0.241 0.000 Hg
0.914 0.583 0.583 Hg

***

(3)
CuTeAu2 | the Alexandria database | GGA-PBE | optimized geometry; ΔE_f (raw) = 0.109 eV/atom; total DFT energy (no corrections) = -3.3395 eV per atom; mass density = 12.11 g/cm³; N(E_F) = 0.394 states/eV per atom
1.0
8.088 0.000 0.000
0.000 3.081 0.000
-0.937 0.000 6.439
Cu Te Au
2 2 4
direct
0.000 0.000 0.000 Cu
0.500 0.500 0.000 Cu
0.000 0.500 0.500 Te
0.500 0.000 0.500 Te
0.235 0.500 0.195 Au
0.265 0.000 0.805 Au
0.735 0.000 0.195 Au
0.765 0.500 0.805 Au

***

(4)
La2PmH8 | the Alexandria database | GGA-PBE | optimized geometry; total DFT energy (no corrections) = -4.3778 eV per atom; mass density = 5.75 g/cm³; N(E_F) = 0.125 states/eV per atom
1.0
-1.961 2.697 5.885
1.961 -2.697 5.885
1.961 2.697 -5.885
La Pm H
2 1 8
direct
0.170 0.170 0.000 La
0.830 0.830 0.000 La
0.500 0.500 0.000 Pm
0.088 0.344 0.744 H
0.244 0.000 0.244 H
0.333 0.833 0.500 H
0.400 0.656 0.744 H
0.600 0.344 0.256 H
0.667 0.167 0.500 H
0.756 0.000 0.756 H
0.912 0.656 0.256 H

***

(5)
Pm7Er4Pu | the Alexandria database | GGA-PBE | optimized geometry; total DFT energy (no corrections) = -5.3454 eV per atom; energy of formation from the pure elements = 0.14 eV/atom; mass density = 8.07 g/cm³; N(E_F) = 1.800 states/eV per atom
1.0
5.721 0.000 0.000
-0.006 6.412 0.000
-2.849 -2.372 10.816
Pm Er Pu
7 4 1
direct
0.000 0.000 0.000 Pm
0.136 0.490 0.270 Pm
0.209 0.060 0.417 Pm
0.452 0.703 0.904 Pm
0.548 0.297 0.096 Pm
0.791 0.940 0.583 Pm
0.864 0.510 0.730 Pm
0.291 0.610 0.582 Er
0.384 0.165 0.769 Er
0.616 0.835 0.231 Er
0.709 0.390 0.418 Er
0.000 0.500 0.000 Pu

***

(6)
AcPuSn3 | the Alexandria database | GGA-PBE | optimized geometry; total DFT energy (no corrections) = -6.4979 eV per atom; energy of formation from the pure elements = -0.41 eV/atom; mass density = 8.79 g/cm³; N(E_F) = 1.901 states/eV per atom
1.0
7.475 0.000 0.000
-3.737 6.473 0.000
0.000 0.000 6.460
Ac Pu Sn
2 2 6
direct
0.333 0.667 0.250 Ac
0.667 0.333 0.750 Ac
0.000 0.000 0.000 Pu
0.000 0.000 0.500 Pu
0.203 0.405 0.750 Sn
0.203 0.797 0.750 Sn
0.405 0.203 0.250 Sn
0.595 0.797 0.750 Sn
0.797 0.203 0.250 Sn
0.797 0.595 0.250 Sn

***

(7)
AcHo2Pb | the Alexandria database | GGA-PBE | optimized geometry; offset from the most stable computed form = 33 meV/atom; total DFT energy (no corrections) = -4.4180 eV per atom; energy of formation from the pure elements = -0.17 eV/atom; mass density = 9.68 g/cm³; N(E_F) = 1.503 states/eV per atom
1.0
3.905 0.000 0.000
0.000 3.905 0.000
0.000 0.000 8.593
Ac Ho Pb
1 2 1
direct
0.000 0.000 0.000 Ac
0.500 0.500 0.291 Ho
0.500 0.500 0.709 Ho
0.000 0.000 0.500 Pb

***

(8)
MnCuAs2Br | the Alexandria database | GGA-PBE | optimized geometry; offset from the most stable computed form = 117 meV/atom; ΔE_f (raw) = 0.657 eV/atom; total DFT energy (no corrections) = -4.1901 eV per atom; mass density = 5.00 g/cm³; N(E_F) = 0.481 states/eV per atom
1.0
4.616 0.000 0.000
0.000 4.616 0.000
0.000 0.000 5.425
Mn Cu As Br
1 1 2 1
direct
0.000 0.000 0.000 Mn
0.500 0.500 0.500 Cu
0.000 0.500 0.500 As
0.500 0.000 0.500 As
0.500 0.500 0.000 Br

***

(9)
TmPa2CrN6 | the Alexandria database | GGA-PBE | optimized geometry; ΔE_f (raw) = -1.076 eV/atom; total DFT energy (no corrections) = -9.3804 eV per atom; mass density = 8.77 g/cm³
1.0
5.317 0.000 0.000
0.000 5.317 0.000
0.000 0.000 5.137
Tm Pa Cr N
1 2 1 6
direct
0.000 0.000 0.000 Tm
0.000 0.500 0.421 Pa
0.500 0.000 0.421 Pa
0.500 0.500 0.036 Cr
0.000 0.000 0.575 N
0.265 0.265 0.191 N
0.265 0.735 0.191 N
0.500 0.500 0.707 N
0.735 0.265 0.191 N
0.735 0.735 0.191 N

***

(10)
SbTe2PtCl | the Alexandria database | GGA-PBE | optimized geometry; offset from the most stable computed form = 0 meV/atom; ΔE_f (raw) = 0.320 eV/atom; total DFT energy (no corrections) = -3.3384 eV per atom; mass density = 6.62 g/cm³; N(E_F) = 1.557 states/eV per atom
1.0
5.326 0.000 0.000
0.000 5.326 0.000
0.000 0.000 5.369
Sb Te Pt Cl
1 2 1 1
direct
0.000 0.000 0.000 Sb
0.000 0.500 0.500 Te
0.500 0.000 0.500 Te
0.000 0.000 0.500 Pt
0.500 0.500 0.000 Cl

***

(11)
DyHoErSc | the Alexandria database | GGA-PBE | optimized geometry; offset from the most stable computed form = 0 meV/atom; total DFT energy (no corrections) = -4.9094 eV per atom; energy of formation from the pure elements = 0.11 eV/atom; mass density = 7.57 g/cm³; N(E_F) = 1.907 states/eV per atom
1.0
11.978 0.000 0.000
0.000 5.554 0.000
-1.172 0.000 3.559
Dy Ho Er Sc
2 2 2 2
direct
0.000 0.000 0.000 Dy
0.500 0.500 0.000 Dy
0.272 0.000 0.774 Ho
0.772 0.500 0.774 Ho
0.039 0.500 0.539 Er
0.539 0.000 0.539 Er
0.269 0.500 0.269 Sc
0.769 0.000 0.269 Sc

***

(12)
CuRe2Au | the Alexandria database | GGA-PBE | optimized geometry; offset from the most stable computed form = 344 meV/atom; total DFT energy (no corrections) = -7.5476 eV per atom; energy of formation from the pure elements = 0.52 eV/atom; mass density = 17.18 g/cm³; N(E_F) = 0.612 states/eV per atom
1.0
2.648 0.000 0.000
0.000 4.675 0.000
-0.781 0.000 4.943
Cu Re Au
1 2 1
direct
0.000 0.000 0.000 Cu
0.276 0.500 0.762 Re
0.724 0.500 0.238 Re
0.500 0.000 0.500 Au

***

(13)
BeAuIN2 | the Alexandria database | GGA-PBE | optimized geometry; offset from the most stable computed form = 0 meV/atom; ΔE_f (raw) = 1.396 eV/atom; total DFT energy (no corrections) = -3.6450 eV per atom; mass density = 5.78 g/cm³; N(E_F) = 0.471 states/eV per atom
1.0
3.723 0.000 0.000
0.000 3.723 0.000
0.000 0.000 7.472
Be Au I N
1 1 1 2
direct
0.000 0.000 0.000 Be
0.500 0.500 0.500 Au
0.000 0.000 0.500 I
0.000 0.500 0.000 N
0.500 0.000 0.000 N

***

(14)
Zr5Ni | the Alexandria database | GGA-PBE | optimized geometry; offset from the most stable computed form = 202 meV/atom; total DFT energy (no corrections) = -8.0024 eV per atom; energy of formation from the pure elements = 0.08 eV/atom; mass density = 6.77 g/cm³; N(E_F) = 1.695 states/eV per atom
1.0
5.356 0.000 0.000
-2.678 4.638 0.000
0.000 0.000 5.083
Zr Ni
5 1
direct
0.000 0.685 0.000 Zr
0.315 0.315 0.000 Zr
0.333 0.667 0.500 Zr
0.667 0.333 0.500 Zr
0.685 0.000 0.000 Zr
0.000 0.000 0.500 Ni

***

(15)
CaIrBr | the Alexandria database | GGA-PBE | optimized geometry; offset from the most stable computed form = 894 meV/atom; ΔE_f (raw) = -0.177 eV/atom; total DFT energy (no corrections) = -4.3558 eV per atom; mass density = 8.08 g/cm³; N(E_F) = 0.424 states/eV per atom
1.0
4.401 0.000 0.000
-2.200 3.811 0.000
0.000 0.000 3.827
Ca Ir Br
1 1 1
direct
0.000 0.000 0.000 Ca
0.667 0.333 0.503 Ir
0.333 0.667 0.497 Br

***

(16)
Ag3C | the Alexandria database | GGA-PBE | optimized geometry; offset from the most stable computed form = 648 meV/atom; total DFT energy (no corrections) = -3.2403 eV per atom; energy of formation from the pure elements = 1.20 eV/atom; mass density = 8.20 g/cm³; N(E_F) = 0.479 states/eV per atom
1.0
7.276 0.000 0.000
-3.638 6.301 0.000
0.000 0.000 2.965
Ag C
6 2
direct
0.197 0.393 0.250 Ag
0.197 0.803 0.250 Ag
0.393 0.197 0.750 Ag
0.607 0.803 0.250 Ag
0.803 0.197 0.750 Ag
0.803 0.607 0.750 Ag
0.333 0.667 0.750 C
0.667 0.333 0.250 C

***

(17)
KLi2Au | the Alexandria database | GGA-PBE | optimized geometry; total DFT energy (no corrections) = -2.0862 eV per atom; energy of formation from the pure elements = -0.04 eV/atom; mass density = 4.19 g/cm³; N(E_F) = 0.495 states/eV per atom
1.0
4.547 0.000 0.000
0.000 4.614 0.000
0.000 0.000 4.721
K Li Au
1 2 1
direct
0.000 0.000 0.000 K
0.000 0.500 0.500 Li
0.500 0.000 0.500 Li
0.500 0.500 0.000 Au

***

(18)
LaEuCo4 | the Alexandria database | GGA-PBE | optimized geometry; total DFT energy (no corrections) = -7.2484 eV per atom; energy of formation from the pure elements = 0.02 eV/atom; mass density = 8.93 g/cm³; N(E_F) = 2.093 states/eV per atom
1.0
0.000 3.658 3.658
3.658 0.000 3.658
3.658 3.658 0.000
La Eu Co
1 1 4
direct
0.000 0.000 0.000 La
0.250 0.250 0.250 Eu
0.125 0.625 0.625 Co
0.625 0.125 0.625 Co
0.625 0.625 0.125 Co
0.625 0.625 0.625 Co

***

(19)
BePdI | the Alexandria database | GGA-PBE | optimized geometry; offset from the most stable computed form = 455 meV/atom; ΔE_f (raw) = 0.142 eV/atom; total DFT energy (no corrections) = -3.3480 eV per atom; mass density = 6.71 g/cm³; N(E_F) = 0.411 states/eV per atom
1.0
9.807 0.000 0.000
0.000 3.630 0.000
0.000 0.000 6.740
Be Pd I
4 4 4
direct
0.112 0.000 0.000 Be
0.112 0.500 0.500 Be
0.888 0.000 0.000 Be
0.888 0.500 0.500 Be
0.000 0.000 0.313 Pd
0.000 0.500 0.813 Pd
0.500 0.000 0.256 Pd
0.500 0.500 0.756 Pd
0.286 0.000 0.513 I
0.286 0.500 0.013 I
0.714 0.000 0.513 I
0.714 0.500 0.013 I

***

(20)
Cs2AsCCl6 | the Alexandria database | GGA-PBE | optimized geometry; ΔE_f (raw) = -0.557 eV/atom; total DFT energy (no corrections) = -3.2227 eV per atom; mass density = 3.28 g/cm³; N(E_F) = 0.000 states/eV per atom
1.0
-3.463 3.463 5.969
3.463 -3.463 5.969
3.463 3.463 -5.969
Cs As C Cl
2 1 1 6
direct
0.250 0.750 0.500 Cs
0.750 0.250 0.500 Cs
0.000 0.000 0.000 As
0.500 0.500 0.000 C
0.208 0.208 0.000 Cl
0.259 0.259 0.519 Cl
0.259 0.741 0.000 Cl
0.741 0.259 0.000 Cl
0.741 0.741 0.481 Cl
0.792 0.792 0.000 Cl